# ScW3O, PBEsol geometry, DFT meta-GGA SCAN
# **Uncorrected formation energy**: 0.10 eV per atom
# **M_tot**: 0.00 μB per formula unit
# **SG**: Pm-3m, No. 221
data_ScW3O
_symmetry_space_group_name_H-M 'P 1'
_symmetry_Int_Tables_number 1
_cell_length_a 4.180
_cell_length_b 4.180
_cell_length_c 4.180
_cell_angle_alpha 90.00
_cell_angle_beta 90.00
_cell_angle_gamma 90.00
loop_
_symmetry_equiv_pos_as_xyz
'x,y,z'
loop_
_atom_site_label
_atom_site_type_symbol
_atom_site_fract_x
_atom_site_fract_y
_atom_site_fract_z
_atom_site_occupancy
Sc1 Sc 0.500 0.500 0.500 1
O1 O 0.000 0.000 0.000 1
W1 W 0.000 0.500 0.000 1
W2 W 0.000 0.000 0.500 1
W3 W 0.500 0.000 0.000 1